# 1
! BaCo2PI GGA-PBE relaxed; values from VASP
&SYSTEM
  ibrav = 0, nat = 5, ntyp = 4
/
ATOMIC_SPECIES
I 126.90 I.upf
Ba 137.33 Ba.upf
Co 58.93 Co.upf
P 30.97 P.upf
CELL_PARAMETERS angstrom
4.482 0.000 0.000
0.000 6.601 0.000
0.000 0.000 4.482
ATOMIC_POSITIONS angstrom
I 0.000 3.300 0.000
Ba 2.241 3.300 2.241
Co 2.241 0.000 0.000
Co 0.000 0.000 2.241
P 0.000 0.000 0.000
! Symmetry: P4/mmm (123)
! Formation energy without anion corrections (meV per atom): 37

---

# 2
! LiPmNdTm GGA-PBE relaxed; values from VASP
&SYSTEM
  ibrav = 0, nat = 4, ntyp = 4
/
ATOMIC_SPECIES
Nd 144.24 Nd.upf
Pm 145.00 Pm.upf
Li 6.94 Li.upf
Tm 168.93 Tm.upf
CELL_PARAMETERS angstrom
-2.121 -4.693 2.081
3.352 -3.774 2.318
-0.103 -0.804 5.495
ATOMIC_POSITIONS angstrom
Nd 0.282 -2.318 2.474
Pm 0.846 -6.953 7.421
Li 0.000 0.000 0.000
Tm 0.564 -4.635 4.947
! Energy of formation (meV/atom): 148.5
! Symmetry: F-43m (216)

---

# 3
! Re4Ir GGA-PBE relaxed; values from VASP
&SYSTEM
  ibrav = 0, nat = 5, ntyp = 2
/
ATOMIC_SPECIES
Re 186.21 Re.upf
Ir 192.22 Ir.upf
CELL_PARAMETERS angstrom
3.427 -2.417 2.289
-4.641 0.599 0.958
-0.335 -2.644 -3.964
ATOMIC_POSITIONS angstrom
Re -2.409 -1.007 0.895
Re -1.362 -1.832 -1.535
Re -0.188 -2.629 0.817
Re 0.859 -3.455 -1.612
Ir 0.000 0.000 0.000
! Energy of formation (meV/atom): -28.4
! Symmetry: I4/m (87)
! Energy above the lowest structure with this stoichiometry (meV/atom): 0